1.
Compound: Zr2TcB2
Source: Alexandria
Functional: PBEsol
Structure: optimized geometry

Properties
Total moment ... 0.00 μB per cell
Final energy ... -9.463 eV/atom
ΔH_f (0 K) ... -0.77 eV/atom

a = 6.203 Å, b = 6.203 Å, c = 3.388 Å
α = 90.00°, β = 90.00°, γ = 90.00°
Space group P4/mbm (No. 127)
Inequivalent atoms, fractional coordinates:
Zr (0.184, 0.316, 0.000) [4 per cell]
Tc (0.000, 0.000, 0.500) [2 per cell]
B (0.104, 0.604, 0.500) [4 per cell]

***

2.
Compound: TiBTe3
Source: Alexandria
Functional: PBEsol
Structure: optimized geometry

Properties
Total moment ... 0.00 μB per cell
Final energy ... -4.313 eV/atom
Raw formation energy ... 84 kJ per mole of atoms

a = 5.237 Å, b = 5.237 Å, c = 5.237 Å
α = 90.00°, β = 90.00°, γ = 90.00°
Space group Pm-3m (No. 221)
Inequivalent atoms, fractional coordinates:
Ti (0.000, 0.000, 0.000) [1 per cell]
B (0.500, 0.500, 0.500) [1 per cell]
Te (0.000, 0.000, 0.500) [3 per cell]

***

3.
Compound: TiBTe2
Source: Alexandria
Functional: PBEsol
Structure: optimized geometry

Properties
Total moment ... 8.44 μB per cell
Final energy ... -5.234 eV/atom
Raw formation energy ... 35 kJ per mole of atoms

a = 6.075 Å, b = 6.075 Å, c = 9.963 Å
α = 90.00°, β = 90.00°, γ = 90.00°
Space group I-42d (No. 122)
Inequivalent atoms, fractional coordinates:
Ti (0.000, 0.000, 0.000) [4 per cell]
B (0.000, 0.000, 0.500) [4 per cell]
Te (0.190, 0.750, 0.625) [8 per cell]

***

4.
Compound: TiBTe3
Source: Alexandria
Functional: PBEsol
Structure: optimized geometry

Properties
Total moment ... 1.48 μB per cell
Final energy ... -4.565 eV/atom
Raw formation energy ... 60 kJ per mole of atoms

a = 4.777 Å, b = 4.777 Å, c = 4.777 Å
α = 90.00°, β = 90.00°, γ = 90.00°
Space group Pm-3m (No. 221)
Inequivalent atoms, fractional coordinates:
Ti (0.000, 0.000, 0.000) [1 per cell]
B (0.500, 0.500, 0.500) [1 per cell]
Te (0.000, 0.500, 0.500) [3 per cell]

***

5.
Compound: TlB2Te
Source: Alexandria
Functional: PBEsol
Structure: optimized geometry

Properties
Total moment ... 0.00 μB per cell
Final energy ... -3.389 eV/atom
Raw formation energy ... 160 kJ per mole of atoms

a = 6.483 Å, b = 6.483 Å, c = 6.483 Å
α = 90.00°, β = 90.00°, γ = 90.00°
Space group Fm-3m (No. 225)
Inequivalent atoms, fractional coordinates:
Tl (0.000, 0.000, 0.000) [4 per cell]
B (0.250, 0.250, 0.250) [8 per cell]
Te (0.000, 0.000, 0.500) [4 per cell]

***

6.
Compound: BTe3W
Source: Alexandria
Functional: PBEsol
Structure: optimized geometry

Properties
Total moment ... 1.88 μB per cell
Final energy ... -4.980 eV/atom
Raw formation energy ... 125 kJ per mole of atoms

a = 4.667 Å, b = 4.667 Å, c = 4.667 Å
α = 90.00°, β = 90.00°, γ = 90.00°
Space group Pm-3m (No. 221)
Inequivalent atoms, fractional coordinates:
B (0.000, 0.000, 0.000) [1 per cell]
Te (0.000, 0.000, 0.500) [3 per cell]
W (0.500, 0.500, 0.500) [1 per cell]

***

7.
Compound: YB2Te
Source: Alexandria
Functional: PBEsol
Structure: optimized geometry

Properties
Total moment ... 0.00 μB per cell
Final energy ... -5.585 eV/atom
Raw formation energy ... 49 kJ per mole of atoms

a = 6.378 Å, b = 6.378 Å, c = 6.790 Å
α = 90.00°, β = 90.00°, γ = 90.00°
Space group I-42d (No. 122)
Inequivalent atoms, fractional coordinates:
Y (0.000, 0.000, 0.000) [4 per cell]
B (0.206, 0.750, 0.625) [8 per cell]
Te (0.000, 0.000, 0.500) [4 per cell]

***

8.
Compound: ThB4
Source: Alexandria
Functional: PBEsol
Structure: optimized geometry

Properties
Total moment ... 0.00 μB per cell
Final energy ... -7.900 eV/atom
ΔH_f (0 K) ... -0.67 eV/atom

a = 7.214 Å, b = 7.214 Å, c = 4.091 Å
α = 90.00°, β = 90.00°, γ = 90.00°
Space group P4/mbm (No. 127)
Inequivalent atoms, fractional coordinates:
Th (0.186, 0.314, 0.000) [4 per cell]
B (0.000, 0.000, 0.201) [4 per cell]
B (0.039, 0.825, 0.500) [8 per cell]
B (0.089, 0.589, 0.500) [4 per cell]

***

9.
Compound: ThB6
Source: Alexandria
Functional: PBEsol
Structure: optimized geometry

Properties
Total moment ... 0.00 μB per cell
Final energy ... -7.682 eV/atom
ΔH_f (0 K) ... -0.51 eV/atom

a = 4.088 Å, b = 4.088 Å, c = 4.088 Å
α = 90.00°, β = 90.00°, γ = 90.00°
Space group Pm-3m (No. 221)
Inequivalent atoms, fractional coordinates:
Th (0.000, 0.000, 0.000) [1 per cell]
B (0.198, 0.500, 0.500) [6 per cell]

***

10.
Compound: TiB
Source: Alexandria
Functional: PBEsol
Structure: optimized geometry

Properties
Total moment ... 0.00 μB per cell
Final energy ... -8.557 eV/atom
ΔH_f (0 K) ... -0.89 eV/atom

a = 6.060 Å, b = 3.036 Å, c = 4.528 Å
α = 90.00°, β = 90.00°, γ = 90.00°
Space group Pnma (No. 62)
Inequivalent atoms, fractional coordinates:
Ti (0.177, 0.250, 0.122) [4 per cell]
B (0.030, 0.250, 0.600) [4 per cell]

***

11.
Compound: Ti3B4
Source: Alexandria
Functional: PBEsol
Structure: optimized geometry

Properties
Total moment ... 0.00 μB per cell
Final energy ... -8.573 eV/atom
ΔH_f (0 K) ... -1.00 eV/atom

a = 3.025 Å, b = 3.228 Å, c = 13.652 Å
α = 90.00°, β = 90.00°, γ = 90.00°
Space group Immm (No. 71)
Inequivalent atoms, fractional coordinates:
Ti (0.000, 0.000, 0.000) [2 per cell]
Ti (0.000, 0.500, 0.315) [4 per cell]
B (0.000, 0.000, 0.435) [4 per cell]
B (0.000, 0.500, 0.132) [4 per cell]

***

12.
Compound: TiBW3
Source: Alexandria
Functional: PBEsol
Structure: optimized geometry

Properties
Total moment ... 0.00 μB per cell
Final energy ... -8.511 eV/atom
ΔH_f (0 K) ... 2.84 eV/atom

a = 4.467 Å, b = 4.467 Å, c = 4.467 Å
α = 90.00°, β = 90.00°, γ = 90.00°
Space group Pm-3m (No. 221)
Inequivalent atoms, fractional coordinates:
Ti (0.000, 0.000, 0.000) [1 per cell]
B (0.500, 0.500, 0.500) [1 per cell]
W (0.000, 0.000, 0.500) [3 per cell]

***

13.
Compound: TiBW3
Source: Alexandria
Functional: PBEsol
Structure: optimized geometry

Properties
Total moment ... 0.00 μB per cell
Final energy ... -11.143 eV/atom
ΔH_f (0 K) ... 0.21 eV/atom

a = 4.191 Å, b = 4.191 Å, c = 4.191 Å
α = 90.00°, β = 90.00°, γ = 90.00°
Space group Pm-3m (No. 221)
Inequivalent atoms, fractional coordinates:
Ti (0.000, 0.000, 0.000) [1 per cell]
B (0.500, 0.500, 0.500) [1 per cell]
W (0.000, 0.500, 0.500) [3 per cell]

***

14.
Compound: YTi3B
Source: Alexandria
Functional: PBEsol
Structure: optimized geometry

Properties
Total moment ... 0.01 μB per cell
Final energy ... -5.496 eV/atom
ΔH_f (0 K) ... 2.26 eV/atom

a = 4.561 Å, b = 4.561 Å, c = 4.561 Å
α = 90.00°, β = 90.00°, γ = 90.00°
Space group Pm-3m (No. 221)
Inequivalent atoms, fractional coordinates:
Y (0.000, 0.000, 0.000) [1 per cell]
Ti (0.000, 0.000, 0.500) [3 per cell]
B (0.500, 0.500, 0.500) [1 per cell]

***

15.
Compound: Zr3TiB
Source: Alexandria
Functional: PBEsol
Structure: optimized geometry

Properties
Total moment ... 1.87 μB per cell
Final energy ... -8.476 eV/atom
ΔH_f (0 K) ... 0.05 eV/atom

a = 4.607 Å, b = 4.607 Å, c = 4.607 Å
α = 90.00°, β = 90.00°, γ = 90.00°
Space group Pm-3m (No. 221)
Inequivalent atoms, fractional coordinates:
Zr (0.000, 0.000, 0.500) [3 per cell]
Ti (0.500, 0.500, 0.500) [1 per cell]
B (0.000, 0.000, 0.000) [1 per cell]

***

16.
Compound: ZrTiB4
Source: Alexandria
Functional: PBEsol
Structure: optimized geometry

Properties
Total moment ... 0.00 μB per cell
Final energy ... -8.674 eV/atom
ΔH_f (0 K) ... -1.09 eV/atom

a = 3.0892 Å, b = 3.0892 Å, c = 6.7041 Å
α = 90.00°, β = 90.00°, γ = 120.00°
Space group P6/mmm (No. 191)
Inequivalent atoms, fractional coordinates:
Zr (0.0000, 0.0000, 0.0000) [1 per cell]
Ti (0.0000, 0.0000, 0.5000) [1 per cell]
B (0.3333, 0.6667, 0.2661) [4 per cell]

***

17.
Compound: Tl2ZnB
Source: Alexandria
Functional: PBEsol
Structure: optimized geometry

Properties
Total moment ... 0.00 μB per cell
Final energy ... -2.473 eV/atom
ΔH_f (0 K) ... 0.99 eV/atom

a = 6.797 Å, b = 6.797 Å, c = 6.797 Å
α = 90.00°, β = 90.00°, γ = 90.00°
Space group Fm-3m (No. 225)
Inequivalent atoms, fractional coordinates:
Tl (0.250, 0.250, 0.250) [8 per cell]
Zn (0.000, 0.000, 0.000) [4 per cell]
B (0.000, 0.000, 0.500) [4 per cell]

***

18.
Compound: ZrTlB2
Source: Alexandria
Functional: PBEsol
Structure: optimized geometry

Properties
Total moment ... 0.00 μB per cell
Final energy ... -5.677 eV/atom
ΔH_f (0 K) ... 0.76 eV/atom

a = 6.324 Å, b = 6.324 Å, c = 6.115 Å
α = 90.00°, β = 90.00°, γ = 90.00°
Space group I-42d (No. 122)
Inequivalent atoms, fractional coordinates:
Zr (0.000, 0.000, 0.000) [4 per cell]
Tl (0.000, 0.000, 0.500) [4 per cell]
B (0.243, 0.750, 0.625) [8 per cell]

***

19.
Compound: TmB4
Source: Alexandria
Functional: PBEsol
Structure: optimized geometry

Properties
Total moment ... 0.00 μB per cell
Final energy ... -7.214 eV/atom
ΔH_f (0 K) ... -0.62 eV/atom

a = 7.011 Å, b = 7.011 Å, c = 3.954 Å
α = 90.00°, β = 90.00°, γ = 90.00°
Space group P4/mbm (No. 127)
Inequivalent atoms, fractional coordinates:
Tm (0.183, 0.317, 0.000) [4 per cell]
B (0.000, 0.000, 0.203) [4 per cell]
B (0.039, 0.823, 0.500) [8 per cell]
B (0.086, 0.586, 0.500) [4 per cell]

***

20.
Compound: UB12
Source: Alexandria
Functional: PBEsol
Structure: optimized geometry

Properties
Total moment ... 0.00 μB per cell
Final energy ... -7.704 eV/atom
ΔH_f (0 K) ... -0.29 eV/atom

a = 7.409 Å, b = 7.409 Å, c = 7.409 Å
α = 90.00°, β = 90.00°, γ = 90.00°
Space group Fm-3m (No. 225)
Inequivalent atoms, fractional coordinates:
U (0.000, 0.000, 0.000) [4 per cell]
B (0.000, 0.170, 0.330) [48 per cell]

***

21.
Compound: UB2
Source: Alexandria
Functional: PBEsol
Structure: optimized geometry

Properties
Total moment ... 0.00 μB per cell
Final energy ... -9.348 eV/atom
ΔH_f (0 K) ... -0.62 eV/atom

a = 3.0571 Å, b = 3.0571 Å, c = 3.9781 Å
α = 90.00°, β = 90.00°, γ = 120.00°
Space group P6/mmm (No. 191)
Inequivalent atoms, fractional coordinates:
U (0.0000, 0.0000, 0.0000) [1 per cell]
B (0.3333, 0.6667, 0.5000) [2 per cell]

***

22.
Compound: UB4W
Source: Alexandria
Functional: PBEsol
Structure: optimized geometry

Properties
Total moment ... 0.02 μB per cell
Final energy ... -9.538 eV/atom
ΔH_f (0 K) ... -0.53 eV/atom

a = 5.926 Å, b = 11.503 Å, c = 3.604 Å
α = 90.00°, β = 90.00°, γ = 90.00°
Space group Pbam (No. 55)
Inequivalent atoms, fractional coordinates:
U (0.128, 0.150, 0.000) [4 per cell]
B (0.026, 0.693, 0.500) [4 per cell]
B (0.116, 0.547, 0.500) [4 per cell]
B (0.131, 0.968, 0.500) [4 per cell]
B (0.207, 0.811, 0.500) [4 per cell]
W (0.137, 0.408, 0.000) [4 per cell]

***

23.
Compound: V2B3
Source: Alexandria
Functional: PBEsol
Structure: optimized geometry

Properties
Total moment ... 0.00 μB per cell
Final energy ... -8.932 eV/atom
ΔH_f (0 K) ... -0.87 eV/atom

a = 2.997 Å, b = 18.289 Å, c = 2.962 Å
α = 90.00°, β = 90.00°, γ = 90.00°
Space group Cmcm (No. 63)
Inequivalent atoms, fractional coordinates:
V (0.000, 0.071, 0.250) [4 per cell]
V (0.000, 0.205, 0.750) [4 per cell]
B (0.000, 0.331, 0.750) [4 per cell]
B (0.000, 0.382, 0.250) [4 per cell]
B (0.000, 0.476, 0.250) [4 per cell]

***

24.
Compound: VB2
Source: Alexandria
Functional: PBEsol
Structure: optimized geometry

Properties
Total moment ... 0.00 μB per cell
Final energy ... -8.700 eV/atom
ΔH_f (0 K) ... -0.81 eV/atom

a = 2.9806 Å, b = 2.9806 Å, c = 2.9849 Å
α = 90.00°, β = 90.00°, γ = 120.00°
Space group P6/mmm (No. 191)
Inequivalent atoms, fractional coordinates:
V (0.0000, 0.0000, 0.0000) [1 per cell]
B (0.3333, 0.6667, 0.5000) [2 per cell]